No. 1
YAgPt3 (PBEsol, optimized geometry); spin magnetization = 0.0 μB per formula unit; ΔH_f (0 K) = 0.552 eV/atom
1.0
4.793 0.000 0.000
0.000 4.793 0.000
0.000 0.000 4.793
Pt Y Ag
3 1 1
Direct
0.000 0.500 0.000 Pt
0.500 0.000 0.000 Pt
0.000 0.000 0.500 Pt
0.500 0.500 0.500 Y
0.000 0.000 0.000 Ag


No. 2
YAg2Pt (PBEsol, optimized geometry); spin magnetization = 0.0 μB per formula unit; ΔH_f (0 K) = 0.130 eV/atom
1.0
2.946 0.000 0.000
1.473 2.551 0.000
1.473 0.850 9.690
Y Ag Pt
1 2 1
Direct
0.000 0.000 0.000 Y
0.756 0.756 0.733 Ag
0.244 0.244 0.267 Ag
0.500 0.500 0.500 Pt


No. 3
Y2AgPt (PBEsol, optimized geometry); spin magnetization = 0.0 μB per formula unit; ΔH_f (0 K) = -0.778 eV/atom
1.0
-1.104 -2.382 -2.652
-0.893 -3.125 3.180
-4.378 3.019 1.737
Y Pt Ag
2 1 1
Direct
0.263 0.000 0.526 Y
0.985 0.500 0.971 Y
0.709 0.500 0.418 Pt
0.542 0.000 0.085 Ag


No. 4
Y2AgPt (PBEsol, optimized geometry); spin magnetization = 0.0 μB per formula unit; ΔH_f (0 K) = -0.583 eV/atom
1.0
-2.652 -2.853 -0.931
2.295 -2.728 1.824
-2.841 0.992 5.058
Y Pt Ag
2 1 1
Direct
0.000 0.000 0.916 Y
0.500 0.500 0.318 Y
0.500 0.500 0.833 Pt
0.000 0.000 0.433 Ag


No. 5
ZnAgPt (PBEsol, optimized geometry); spin magnetization = 0.0 μB per formula unit; ΔH_f (0 K) = -0.206 eV/atom
1.0
2.806 0.000 0.000
0.000 4.306 0.000
0.000 -2.153 3.729
Zn Ag Pt
1 1 1
Direct
0.355 0.667 0.333 Zn
0.043 0.000 0.000 Ag
0.601 0.333 0.667 Pt


No. 6
Zn2AgPt2 (PBEsol, optimized geometry); spin magnetization = 0.0 μB per formula unit; ΔH_f (0 K) = -0.346 eV/atom
1.0
-2.358 1.515 -0.090
-3.448 -5.127 3.993
1.993 3.468 6.174
Zn Pt Ag
4 4 2
Direct
0.500 0.161 0.661 Zn
0.500 0.661 0.839 Zn
0.500 0.839 0.339 Zn
0.500 0.339 0.161 Zn
0.000 0.363 0.863 Pt
0.000 0.137 0.363 Pt
0.000 0.863 0.637 Pt
0.000 0.637 0.137 Pt
0.000 0.000 0.000 Ag
0.000 0.500 0.500 Ag


No. 7
Zr2AgPt (PBEsol, optimized geometry); spin magnetization = 0.0 μB per formula unit; ΔH_f (0 K) = -0.499 eV/atom
1.0
2.917 0.000 0.000
0.000 4.050 0.000
0.000 0.000 6.156
Zr Pt Ag
2 1 1
Direct
0.000 0.000 0.260 Zr
0.000 0.000 0.740 Zr
0.500 0.500 0.500 Pt
0.500 0.500 0.000 Ag


No. 8
Zr2AgPt (PBEsol, optimized geometry); spin magnetization = 0.0 μB per formula unit; ΔH_f (0 K) = -0.202 eV/atom
1.0
-2.071 2.118 0.458
-2.586 -0.699 1.345
2.332 2.434 9.092
Zr Pt Ag
2 1 1
Direct
0.747 0.747 0.760 Zr
0.253 0.253 0.240 Zr
0.000 0.000 0.000 Pt
0.500 0.500 0.500 Ag


What did we get for energy? Answer: -28.262 -19.890 -27.032 -26.251 -12.473 -22.135 -30.449 -29.264 eV per formula unit, in the order shown.